The following is a GGA-PBE calculation of a geometry-optimized DyNi2GeP structure, from the Open Quantum Materials Database.

a b c (Å): 5.579 5.579 5.579
angles (deg): 138.45 138.45 60.22
Atoms (fractional coordinates):
Dy: 0.003 0.003 0.000
Ge: 0.378 0.378 0.000
Ni: 0.744 0.244 0.500
Ni: 0.244 0.744 0.500
P: 0.630 0.630 0.000

Size of the total moment: 0.000 μB/atom
Final energy: -30.14 eV for the cell shown
Symmetry: I4mm, No. 107